Compound: Pa2TlFeO8
Source: Alexandria
Functional: PBE+U
Structure: relaxed

Unit cell a=5.3458 b=5.3458 c=11.0238 alpha=90.00 beta=90.00 gamma=90.00
Last column: nearest neighbours and their distance in Å.
Space group I-4 (No. 82)
One atom of each set of equivalent atoms:
Pa1 0.0000 0.0000 0.0000  8 O 2.30-2.32
Pa2 0.0000 0.5000 0.2500  8 O 2.20-2.44
Tl1 0.0000 0.5000 0.7500  4 O 2.16
Fe1 0.0000 0.0000 0.5000  4 O 1.96
O1 0.1903 0.7448 0.4125  1 Fe 1.96
O2 0.1972 0.2031 0.8432  1 Tl 2.16, 2 Pa 2.20-2.30

## Properties
ρ ... 8.96 Mg/m³
DFT total energy ... -96.630 eV per formula unit